{
  "formula": "Hf2VF11",
  "functional": "PBE with a Hubbard U",
  "state": "optimized geometry",
  "energy_ev_per_atom": -6.878,
  "volume_a3_per_cell": 385.2,
  "lattice_angstrom": [[-5.718, 3.792, 3.646], [-1.721, -1.958, 7.615], [1.842, 6.425, 4.485]],
  "species": ["Hf", "Hf", "Hf", "Hf", "V", "V", "F", "F", "F", "F", "F", "F", "F", "F", "F", "F", "F", "F", "F", "F", "F", "F", "F", "F", "F", "F", "F", "F"],
  "frac_coords": [[0.632, 0.688, 0.312], [0.368, 0.312, 0.688], [0.868, 0.188, 0.812], [0.132, 0.812, 0.188], [0.750, 0.750, 0.750], [0.250, 0.250, 0.250], [0.599, 0.742, 0.553], [0.401, 0.258, 0.447], [0.106, 0.553, 0.742], [0.901, 0.947, 0.758], [0.894, 0.447, 0.258], [0.099, 0.053, 0.242], [0.394, 0.758, 0.947], [0.606, 0.242, 0.053], [0.500, 0.500, 0.500], [0.000, 0.000, 0.000], [0.868, 0.783, 0.217], [0.132, 0.217, 0.783], [0.632, 0.283, 0.717], [0.368, 0.717, 0.283], [0.457, 0.987, 0.278], [0.543, 0.013, 0.722], [0.278, 0.278, 0.987], [0.043, 0.222, 0.513], [0.722, 0.722, 0.013], [0.957, 0.778, 0.487], [0.222, 0.513, 0.222], [0.778, 0.487, 0.778]]
}